[1]
# Al2TePb

A relaxed structure of Al2TePb (GGA-PBEsol, Alexandria via LeMat-Bulk).

Properties
For the uncorrected formation energy, the calculation gives 1.19 eV/f.u. The value obtained for the density of states at the Fermi level is 12.21 states/eV per cell. The calculated total energy is -3.631 eV/atom. For the volume, the calculation gives 390 Å³ per cell. The relative energy among the computed polymorphs is 144.5 meV per atom.

a b c (Å): 7.3044 7.3044 7.3044
angles (deg): 90.00 90.00 90.00
Space group F-43m (No. 216)
Inequivalent atoms, fractional coordinates:
Al 0.0000 0.0000 0.0000 (multiplicity 4)
Al 0.2500 0.2500 0.2500 (multiplicity 4)
Te 0.0000 0.0000 0.5000 (multiplicity 4)
Pb 0.2500 0.2500 0.7500 (multiplicity 4)

---

[2]
# AlTePb3

A relaxed structure of AlTePb3 (GGA-PBEsol, Alexandria via LeMat-Bulk).

Properties
For the uncorrected formation energy, the calculation gives 3.88 eV/f.u. The value obtained for the density of states at the Fermi level is 4.69 states/eV per cell. The calculated total energy is -3.148 eV/atom. For the volume, the calculation gives 203 Å³ per cell. The relative energy among the computed polymorphs is 440.3 meV per atom.

a b c (Å): 5.8740 5.8740 5.8740
angles (deg): 90.00 90.00 90.00
Space group Pm-3m (No. 221)
Inequivalent atoms, fractional coordinates:
Al 0.0000 0.0000 0.0000 (multiplicity 1)
Te 0.5000 0.5000 0.5000 (multiplicity 1)
Pb 0.0000 0.5000 0.5000 (multiplicity 3)

---

[3]
# Al2Te2Pb

A relaxed structure of Al2Te2Pb (GGA-PBEsol, Alexandria via LeMat-Bulk).

Properties
For the uncorrected formation energy, the calculation gives 0.13 eV/f.u. The value obtained for the density of states at the Fermi level is 4.69 states/eV per cell. The calculated total energy is -3.821 eV/atom. For the volume, the calculation gives 256 Å³ per cell.

a b c (Å): 3.9089 3.9089 16.7659
angles (deg): 90.00 90.00 90.00
Space group I4/mmm (No. 139)
Inequivalent atoms, fractional coordinates:
Al 0.0000 0.5000 0.2500 (multiplicity 4)
Te 0.0000 0.0000 0.1122 (multiplicity 4)
Pb 0.0000 0.0000 0.5000 (multiplicity 2)

---

[4]
# TiAlPb3

A relaxed structure of TiAlPb3 (GGA-PBEsol, Alexandria via LeMat-Bulk).

Properties
The value obtained for the density of states at the Fermi level is 7.31 states/eV per cell. As for the calculated formation energy: 4.32 eV/f.u. The calculated total energy is -4.018 eV/atom. For the volume, the calculation gives 148 Å³ per cell.

a b c (Å): 5.2852 5.2852 5.2852
angles (deg): 90.00 90.00 90.00
Space group Pm-3m (No. 221)
Inequivalent atoms, fractional coordinates:
Ti 0.0000 0.0000 0.0000 (multiplicity 1)
Al 0.5000 0.5000 0.5000 (multiplicity 1)
Pb 0.0000 0.5000 0.5000 (multiplicity 3)

---

[5]
# Al2TlPb

A relaxed structure of Al2TlPb (GGA-PBEsol, Alexandria via LeMat-Bulk).

Properties
The value obtained for the density of states at the Fermi level is 4.83 states/eV per cell. As for the calculated formation energy: 1.12 eV/f.u. The calculated total energy is -3.423 eV/atom. For the volume, the calculation gives 283 Å³ per cell.

a b c (Å): 3.2641 3.2641 30.7184
angles (deg): 90.00 90.00 120.00
Space group R-3m (No. 166, hexagonal axes)
Inequivalent atoms, fractional coordinates:
Al 0.0000 0.0000 0.2479 (multiplicity 6)
Tl 0.0000 0.0000 0.5000 (multiplicity 3)
Pb 0.0000 0.0000 0.0000 (multiplicity 3)

---

[6]
# AlTlPb

A relaxed structure of AlTlPb (GGA-PBEsol, Alexandria via LeMat-Bulk).

Properties
The value obtained for the density of states at the Fermi level is 3.90 states/eV per cell. As for the calculated formation energy: 1.20 eV/f.u. The calculated total energy is -3.175 eV/atom. For the volume, the calculation gives 349 Å³ per cell.

a b c (Å): 7.0430 7.0430 7.0430
angles (deg): 90.00 90.00 90.00
Space group F-43m (No. 216)
Inequivalent atoms, fractional coordinates:
Al 0.0000 0.0000 0.0000 (multiplicity 4)
Tl 0.2500 0.2500 0.2500 (multiplicity 4)
Pb 0.0000 0.0000 0.5000 (multiplicity 4)